# Al2CdSi | Alexandria via LeMat-Bulk | PBE-GGA | optimized geometry
# total magnetization = 0.00 μB/cell
# excess energy over the best structure of this formula in the dataset = 14.5 kJ per mole of atoms
# formation energy from raw total energies = 1.306 eV/f.u.
# E_tot = -3.129 eV/atom
data_Al2CdSi
_cell_length_a 4.696
_cell_length_b 4.696
_cell_length_c 4.696
_cell_angle_alpha 60.00
_cell_angle_beta 60.00
_cell_angle_gamma 60.00
_space_group_name_H-M_alt 'P 1'
_space_group_IT_number 1
loop_
_space_group_symop_operation_xyz
'x,y,z'
loop_
_atom_site_label
_atom_site_fract_x
_atom_site_fract_y
_atom_site_fract_z
Si1 0.000 0.000 0.000
Al1 0.250 0.250 0.250
Al2 0.750 0.750 0.750
Cd1 0.500 0.500 0.500